Here is crystalline NpMnCo4 at its relaxed geometry from Alexandria. Energies are from PBE-GGA.

Output
**Density of states at the Fermi level**: 1.474 states/eV/atom
**E**: -8.43 eV per atom
**E_form**: -0.003 eV/atom

abc: 4.798 4.798 7.991
angles: 90.00 90.00 120.00
Element x y z (fractional)
Mn  0.667  0.333  0.952
Mn  0.333  0.667  0.048
Np  0.333  0.667  0.417
Np  0.667  0.333  0.583
Co  0.000  0.000  0.000
Co  0.663  0.832  0.761
Co  0.168  0.337  0.761
Co  0.832  0.168  0.239
Co  0.832  0.663  0.239
Co  0.168  0.832  0.761
Co  0.000  0.000  0.500
Co  0.337  0.168  0.239